First-principles (PBE) data for Co3W after structural relaxation, as listed in Alexandria via LeMat-Bulk.

Properties
Energy relative to the elements = 0.083 eV/atom
E = -33.94 eV/cell

Geometry as CIF:
```
data_Co3W
_chemical_formula_sum 'Co3 W1'
_symmetry_space_group_name_H-M 'P 1'
_symmetry_Int_Tables_number 1
_cell_length_a 2.6354
_cell_length_b 4.0941
_cell_length_c 4.4269
_cell_angle_alpha 90.00
_cell_angle_beta 90.00
_cell_angle_gamma 90.00
loop_
_symmetry_equiv_pos_as_xyz
'x,y,z'
loop_
_atom_site_label
_atom_site_type_symbol
_atom_site_fract_x
_atom_site_fract_y
_atom_site_fract_z
Co1 Co 0.0000 0.0000 0.0000
Co2 Co 0.0000 0.5000 0.3312
Co3 Co 0.5000 0.0000 0.4774
W1 W 0.5000 0.5000 0.8243
```